This record from Alexandria via LeMat-Bulk describes a geometry-optimized AlSb2TeIr structure. The functional is PBE.

Unit cell a=5.0608 b=5.0608 c=5.1350 alpha=90.00 beta=90.00 gamma=90.00
Space group P4/mmm (No. 123)
One atom of each set of equivalent atoms:
1 Al 0.0000 0.0000 0.0000 x1
2 Sb 0.0000 0.5000 0.0000 x2
3 Te 0.0000 0.0000 0.5000 x1
4 Ir 0.5000 0.5000 0.5000 x1

* total magnetic moment: 0.00 μB per formula unit
* V: 26.30 Å³ per atom
* formation energy without anion corrections: 1.1445 eV/atom
* offset from the most stable computed form: 584.1 meV per atom
* uncorrected energy: -3.654 eV per atom

This record from Alexandria via LeMat-Bulk describes a geometry-optimized CoNCl3 structure. The functional is PBE.

Unit cell a=8.4168 b=5.9364 c=11.2239 alpha=90.00 beta=108.82 gamma=90.00
Space group P2_1/c (No. 14)
One atom of each set of equivalent atoms:
1 Co 0.0879 0.0533 0.3794 x4
2 N 0.2842 0.5238 0.8875 x4
3 Cl 0.0937 0.7190 0.0325 x4
4 Cl 0.1069 0.1086 0.7889 x4
5 Cl 0.3898 0.0334 0.2902 x4

* total magnetic moment: 1.00 μB per formula unit
* V: 26.54 Å³ per atom
* formation energy without anion corrections: 0.0903 eV/atom
* offset from the most stable computed form: 0.0 meV per atom
* uncorrected energy: -4.104 eV per atom